Material: BaOsAu2
Method: DFT, GGA-PBE
State: relaxed

**Space-group type**: R3m, No. 160
**Raw total energy**: -4.77 eV/atom
**Volume**: 26.5 Å³/atom
**ΔE to the lowest computed polymorph**: 0.00 eV/f.u.

The structure in POSCAR format:
```
BaOsAu2
1.0
2.3273 1.3437 5.6431
-2.3273 1.3437 5.6431
0.0000 -2.6873 5.6431
Ba Os Au
1 1 2
Direct
0.0000 0.0000 0.0000
0.1820 0.1820 0.1820
0.5175 0.5175 0.5175
0.8117 0.8117 0.8117
```



Material: BaOs2Au
Method: DFT, GGA-PBE
State: relaxed

**Space-group type**: Imm2, No. 44
**Raw total energy**: -6.09 eV/atom
**Volume**: 25.5 Å³/atom
**ΔE to the lowest computed polymorph**: 2.50 eV/f.u.

The structure in POSCAR format:
```
BaOs2Au
1.0
-1.9247 2.8793 4.5939
1.9247 -2.8793 4.5939
1.9247 2.8793 -4.5939
Ba Os Au
1 2 1
Direct
0.0000 0.0000 0.0000
0.3326 0.8326 0.5000
0.4772 0.4772 0.0000
0.6978 0.1978 0.5000
```



Material: Ba2OsAu
Method: DFT, GGA-PBE
State: relaxed

**Space-group type**: I-4m2, No. 119
**Raw total energy**: -4.05 eV/atom
**Volume**: 28.8 Å³/atom
**ΔE to the lowest computed polymorph**: 0.92 eV/f.u.

The structure in POSCAR format:
```
Ba2OsAu
1.0
-2.3251 2.3251 5.3362
2.3251 -2.3251 5.3362
2.3251 2.3251 -5.3362
Ba Os Au
2 1 1
Direct
0.0000 0.0000 0.0000
0.7500 0.2500 0.5000
0.2500 0.7500 0.5000
0.5000 0.5000 0.0000
```



Material: BaOs2Au
Method: DFT, GGA-PBE
State: relaxed

**Space-group type**: Pmmm, No. 47
**Raw total energy**: -5.90 eV/atom
**Volume**: 21.9 Å³/atom
**ΔE to the lowest computed polymorph**: 3.24 eV/f.u.

The structure in POSCAR format:
```
BaOs2Au
1.0
2.8531 0.0000 0.0000
0.0000 4.4250 0.0000
0.0000 0.0000 6.9376
Ba Os Au
1 2 1
Direct
0.0000 0.0000 0.0000
0.5000 0.5000 0.3295
0.5000 0.5000 0.6705
0.0000 0.0000 0.5000
```



Material: BaOs2Au
Method: DFT, GGA-PBE
State: relaxed

**Space-group type**: I-42d, No. 122
**Raw total energy**: -6.16 eV/atom
**Volume**: 26.8 Å³/atom
**ΔE to the lowest computed polymorph**: 2.21 eV/f.u.

The structure in POSCAR format:
```
BaOs2Au
1.0
-2.3624 2.3624 9.5909
2.3624 -2.3624 9.5909
2.3624 2.3624 -9.5909
Ba Os Au
2 4 2
Direct
0.0000 0.0000 0.0000
0.7500 0.2500 0.5000
0.3246 0.1250 0.6996
0.3750 0.6754 0.8004
0.4254 0.6250 0.3004
0.8750 0.5746 0.1996
0.2500 0.7500 0.5000
0.5000 0.5000 0.0000
```



Material: BaOs2Au
Method: DFT, GGA-PBE
State: relaxed

**Space-group type**: R-3m, No. 166
**Raw total energy**: -6.51 eV/atom
**Volume**: 26.4 Å³/atom
**ΔE to the lowest computed polymorph**: 0.79 eV/f.u.

The structure in POSCAR format:
```
BaOs2Au
1.0
2.2850 1.3193 5.8477
-2.2850 1.3193 5.8477
0.0000 -2.6385 5.8477
Ba Os Au
1 2 1
Direct
0.0000 0.0000 0.0000
0.1759 0.1759 0.1759
0.8241 0.8241 0.8241
0.5000 0.5000 0.5000
```



Material: Ba2OsAu
Method: DFT, GGA-PBE
State: relaxed

**Space-group type**: Fm-3m, No. 225
**Raw total energy**: -4.19 eV/atom
**Volume**: 29.9 Å³/atom
**ΔE to the lowest computed polymorph**: 0.37 eV/f.u.

The structure in POSCAR format:
```
Ba2OsAu
1.0
0.0000 3.9087 3.9087
3.9087 0.0000 3.9087
3.9087 3.9087 0.0000
Ba Os Au
2 1 1
Direct
0.2500 0.2500 0.2500
0.7500 0.7500 0.7500
0.0000 0.0000 0.0000
0.5000 0.5000 0.5000
```



Material: BaOsAu2
Method: DFT, GGA-PBE
State: relaxed

**Space-group type**: Fm-3m, No. 225
**Raw total energy**: -4.21 eV/atom
**Volume**: 23.3 Å³/atom
**ΔE to the lowest computed polymorph**: 2.22 eV/f.u.

The structure in POSCAR format:
```
BaOsAu2
1.0
0.0000 3.5973 3.5973
3.5973 0.0000 3.5973
3.5973 3.5973 0.0000
Ba Os Au
1 1 2
Direct
0.0000 0.0000 0.0000
0.5000 0.5000 0.5000
0.2500 0.2500 0.2500
0.7500 0.7500 0.7500
```



Please write out number 5 again, unchanged.
Material: BaOs2Au
Method: DFT, GGA-PBE
State: relaxed

**Space-group type**: I-42d, No. 122
**Raw total energy**: -6.16 eV/atom
**Volume**: 26.8 Å³/atom
**ΔE to the lowest computed polymorph**: 2.21 eV/f.u.

The structure in POSCAR format:
```
BaOs2Au
1.0
-2.3624 2.3624 9.5909
2.3624 -2.3624 9.5909
2.3624 2.3624 -9.5909
Ba Os Au
2 4 2
Direct
0.0000 0.0000 0.0000
0.7500 0.2500 0.5000
0.3246 0.1250 0.6996
0.3750 0.6754 0.8004
0.4254 0.6250 0.3004
0.8750 0.5746 0.1996
0.2500 0.7500 0.5000
0.5000 0.5000 0.0000
```